w) Cd2BiPd8 | PBE-GGA | relaxed

Summary:
The size of the total moment is 0.00 Bohr magnetons per cell. As for the volume: 16.92 A^3/atom.

abc: 14.5544 4.1688 6.3355
angles: 90.00 104.43 90.00
Space group C2/m (No. 12)
Unique sites:
Cd 0.2227 0.0000 0.1468 [4 per cell]
Bi 0.0000 0.5000 0.5000 [2 per cell]
Pd 0.0415 0.0000 0.2238 [4 per cell]
Pd 0.0916 0.5000 0.9595 [4 per cell]
Pd 0.1431 0.0000 0.6902 [4 per cell]
Pd 0.1802 0.5000 0.4125 [4 per cell]

***

x) Cd2BiPd8 | PBE-GGA | relaxed

Summary:
The size of the total moment is 0.00 Bohr magnetons per cell. As for the volume: 17.78 A^3/atom.

abc: 4.3321 7.0392 12.8269
angles: 90.00 90.00 90.00
Space group Immm (No. 71)
Unique sites:
Cd 0.0000 0.0000 0.1743 [4 per cell]
Bi 0.0000 0.0000 0.5000 [2 per cell]
Pd 0.0000 0.2306 0.0000 [4 per cell]
Pd 0.0000 0.2586 0.3388 [8 per cell]
Pd 0.0000 0.5000 0.1681 [4 per cell]

***

Result of the stability comparison: w) is the most stable of them.

***

w) Pm2CdBi | PBE-GGA | relaxed

Summary:
The size of the total moment is 0.00 Bohr magnetons per cell. As for the volume: 29.32 A^3/atom.

abc: 7.7699 7.7699 7.7699
angles: 90.00 90.00 90.00
Space group Fm-3m (No. 225)
Unique sites:
Pm 0.2500 0.2500 0.2500 [8 per cell]
Cd 0.0000 0.0000 0.0000 [4 per cell]
Bi 0.0000 0.0000 0.5000 [4 per cell]

***

x) Pm2CdBi | PBE-GGA | relaxed

Summary:
The size of the total moment is 0.70 Bohr magnetons per cell. As for the volume: 29.40 A^3/atom.

abc: 4.0962 4.0962 7.0090
angles: 90.00 90.00 90.00
Space group P4/mmm (No. 123)
Unique sites:
Pm 0.0000 0.0000 0.2491 [2 per cell]
Cd 0.5000 0.5000 0.5000 [1 per cell]
Bi 0.5000 0.5000 0.0000 [1 per cell]

***

Result of the stability comparison: x) is the most stable of them.

***

w) PmCdBi2 | PBE-GGA | relaxed

Summary:
The size of the total moment is 0.00 Bohr magnetons per cell. As for the volume: 29.69 A^3/atom.

abc: 4.2001 4.2001 6.7311
angles: 90.00 90.00 90.00
Space group P4/mmm (No. 123)
Unique sites:
Pm 0.0000 0.0000 0.0000 [1 per cell]
Cd 0.0000 0.0000 0.5000 [1 per cell]
Bi 0.5000 0.5000 0.2463 [2 per cell]

***

x) PmCdBi2 | PBE-GGA | relaxed

Summary:
The size of the total moment is 0.00 Bohr magnetons per cell. As for the volume: 29.79 A^3/atom.

abc: 7.8116 7.8116 7.8116
angles: 90.00 90.00 90.00
Space group Fm-3m (No. 225)
Unique sites:
Pm 0.0000 0.0000 0.0000 [4 per cell]
Cd 0.0000 0.0000 0.5000 [4 per cell]
Bi 0.2500 0.2500 0.2500 [8 per cell]

***

Result of the stability comparison: w) is the most stable of them.